(1)
TmSb3: optimized geometry, PBE-GGA.

```
TmSb3
1.0
-1.950 4.937 2.866
1.950 -4.937 2.866
1.950 4.937 -2.866
Tm Sb
1 3
direct
0.000 0.000 0.000
0.001 0.720 0.281
0.439 0.720 0.719
0.557 0.057 0.500
```

Values from the calculation:
* crystal system: orthorhombic
* ρ: 8.04 g/cm3
* offset from the most stable computed form: 0.081 eV/atom
* uncorrected formation energy: -36 kJ per mole of atoms
* total energy: -18.3 eV/f.u.
* space group: Imm2 (44)
* DOS at the Fermi energy: 0.3820 states/eV/atom

(2)
Tm5Sb2: optimized geometry, PBE-GGA.

```
Tm5Sb2
1.0
8.009 -3.159 0.000
8.009 3.159 0.000
-0.904 0.000 7.909
Tm Sb
10 4
direct
0.110 0.341 0.308
0.162 0.838 0.750
0.278 0.523 0.064
0.341 0.110 0.808
0.477 0.722 0.436
0.523 0.278 0.564
0.659 0.890 0.192
0.722 0.477 0.936
0.838 0.162 0.250
0.890 0.659 0.692
0.062 0.734 0.413
0.266 0.938 0.087
0.734 0.062 0.913
0.938 0.266 0.587
```

Values from the calculation:
* crystal system: monoclinic
* ρ: 9.03 g/cm3
* offset from the most stable computed form: 0.058 eV/atom
* uncorrected formation energy: -55 kJ per mole of atoms
* total energy: -34.6 eV/f.u.
* space group: C2/c (15)
* DOS at the Fermi energy: 1.1330 states/eV/atom

Q: What is the DOS at the Fermi energy in the second record?
A: 1.1330 states/eV/atom